1.
An optimized crystal structure of BeGaIrPd, computed with PBE.

Cell lengths 5.922, 5.922, 5.922 Å; angles 90.00, 90.00, 90.00 degrees
Space group F-43m (No. 216)
One atom of each set of equivalent atoms:
Be (0.000, 0.000, 0.000) (multiplicity 4)
Ga (0.000, 0.000, 0.500) (multiplicity 4)
Ir (0.250, 0.250, 0.750) (multiplicity 4)
Pd (0.250, 0.250, 0.250) (multiplicity 4)

Values from the calculation:
VASP energy (eV/cell): -90.96
Energy of formation from the pure elements (meV per atom): -483

=====

2.
An optimized crystal structure of Nd4DyZn, computed with PBE.

Cell lengths 7.435, 7.435, 7.594 Å; angles 90.00, 90.06, 90.00 degrees
Space group Cm (No. 8)
One atom of each set of equivalent atoms:
Nd (0.000, 0.250, 0.000) (multiplicity 4)
Nd (0.000, 0.250, 0.461) (multiplicity 4)
Dy (0.250, 0.000, 0.730) (multiplicity 2)
Zn (0.250, 0.500, 0.230) (multiplicity 2)

Values from the calculation:
VASP energy (eV/cell): -45.59
Energy of formation from the pure elements (meV per atom): 359

=====

3.
An optimized crystal structure of Sm2Y4Th, computed with PBE.

Cell lengths 6.278, 3.625, 20.382 Å; angles 90.00, 95.91, 90.00 degrees
Space group Cm (No. 8)
One atom of each set of equivalent atoms:
Sm (0.000, 0.000, 0.000) (multiplicity 2)
Sm (0.094, 0.000, 0.286) (multiplicity 2)
Y (0.190, 0.000, 0.571) (multiplicity 2)
Y (0.213, 0.500, 0.143) (multiplicity 2)
Y (0.285, 0.000, 0.856) (multiplicity 2)
Y (0.309, 0.500, 0.430) (multiplicity 2)
Th (0.405, 0.500, 0.713) (multiplicity 2)

Values from the calculation:
VASP energy (eV/cell): -85.10
Energy of formation from the pure elements (meV per atom): 24

=====

4.
An optimized crystal structure of K3Tm3SnSe8, computed with PBE.

Cell lengths 8.1969, 8.1969, 23.5429 Å; angles 90.00, 90.00, 120.00 degrees
Space group R-3m (No. 166, hexagonal axes)
One atom of each set of equivalent atoms:
K (0.0000, 0.5000, 0.0000) (multiplicity 9)
Tm (0.0000, 0.5000, 0.5000) (multiplicity 9)
Sn (0.0000, 0.0000, 0.5000) (multiplicity 3)
Se (0.0000, 0.0000, 0.2336) (multiplicity 6)
Se (0.0083, 0.5042, 0.2328) (multiplicity 18)

Values from the calculation:
ΔE_f (raw) (meV per atom): -1456
VASP energy (eV/cell): -211.30

=====

5.
An optimized crystal structure of Sc2SI3, computed with PBE.

Cell lengths 20.601, 3.993, 13.893 Å; angles 90.00, 131.92, 90.00 degrees
Space group C2/m (No. 12)
One atom of each set of equivalent atoms:
Sc (0.074, 0.000, 0.180) (multiplicity 4)
Sc (0.129, 0.500, 0.944) (multiplicity 4)
S (0.093, 0.000, 0.013) (multiplicity 4)
I (0.039, 0.500, 0.311) (multiplicity 4)
I (0.178, 0.000, 0.835) (multiplicity 4)
I (0.216, 0.500, 0.314) (multiplicity 4)

Values from the calculation:
ΔE_f (raw) (meV per atom): -1313
VASP energy (eV/cell): -117.28

=====

6.
An optimized crystal structure of Cs4Pm3TmO8, computed with PBE.

Cell lengths 7.2661, 7.2661, 20.7677 Å; angles 90.00, 90.00, 120.00 degrees
Space group R-3m (No. 166, hexagonal axes)
One atom of each set of equivalent atoms:
Cs (0.0000, 0.0000, 0.0000) (multiplicity 3)
Cs (0.0000, 0.5000, 0.0000) (multiplicity 9)
Pm (0.0000, 0.5000, 0.5000) (multiplicity 9)
Tm (0.0000, 0.0000, 0.5000) (multiplicity 3)
O (0.0000, 0.0000, 0.2227) (multiplicity 6)
O (0.0107, 0.5053, 0.2221) (multiplicity 18)

Values from the calculation:
ΔE_f (raw) (meV per atom): -2560
VASP energy (eV/cell): -308.28

=====

7.
An optimized crystal structure of Sr2Cr2Bi, computed with PBE.

Cell lengths 5.276, 5.276, 11.506 Å; angles 90.00, 90.00, 90.00 degrees
Space group I4/mmm (No. 139)
One atom of each set of equivalent atoms:
Sr (0.000, 0.500, 0.250) (multiplicity 4)
Cr (0.000, 0.000, 0.074) (multiplicity 4)
Bi (0.000, 0.000, 0.500) (multiplicity 2)

Values from the calculation:
VASP energy (eV/cell): -44.86
Energy of formation from the pure elements (meV per atom): 812

=====

8.
An optimized crystal structure of Hf3SnH2, computed with PBE.

Cell lengths 8.940, 9.477, 4.410 Å; angles 90.00, 90.00, 90.00 degrees
Space group Cmcm (No. 63)
One atom of each set of equivalent atoms:
Hf (0.000, 0.126, 0.250) (multiplicity 4)
Hf (0.229, 0.373, 0.250) (multiplicity 8)
Sn (0.000, 0.340, 0.750) (multiplicity 4)
H (0.134, 0.000, 0.000) (multiplicity 8)

Values from the calculation:
VASP energy (eV/cell): -171.14

=====

no.,magnetic moment (μB per formula unit)
1,0.0
2,0.0
3,0.0
4,0.0
5,0.0
6,0.0
7,0.0
8,0.0